#w
This record from OQMD via LeMat-Bulk describes a relaxed structure of TaInNiPd. The functional is PBE.

Calculated values
Density in g cm⁻³: 11.79
Total magnetic moment in μB/cell: 0.01

```
TaInNiPd
1.0
0.000 3.190 3.190
3.190 0.000 3.190
3.190 3.190 0.000
Ni Pd Ta In
1 1 1 1
direct
0.750 0.750 0.750
0.500 0.500 0.500
0.250 0.250 0.250
0.000 0.000 0.000
```

#x
This record from OQMD via LeMat-Bulk describes a relaxed structure of TaInNiPd. The functional is PBE.

Calculated values
Density in g cm⁻³: 11.87
Total magnetic moment in μB/cell: 0.00

```
TaInNiPd
1.0
0.000 3.183 3.183
3.183 0.000 3.183
3.183 3.183 0.000
Ni Ta In Pd
1 1 1 1
direct
0.750 0.750 0.750
0.500 0.500 0.500
0.000 0.000 0.000
0.250 0.250 0.250
```

#x is favored, and the nearest alternative lies 0.250 eV/atom above it.